No. 1
Compound: ZnReNi
Source: Alexandria via LeMat-Bulk
Functional: PBE
Structure: relaxed

Results
**Final energy**: -58.1 eV for the cell shown
**D(E_F)**: 1.001 states/eV per atom
**Formation energy from the elements**: 44 meV per atom
**Distance to the lowest polymorph of the same formula**: 1.04 kcal/mol of atoms

CIF file:
```
data_ZnReNi
_chemical_formula_sum 'Zn3 Re3 Ni3'
_space_group_name_H-M_alt 'R 3 m'
_space_group_IT_number 160
_space_group_name_Hall 'R 3 -2"'
_cell_length_a 2.6968
_cell_length_b 2.6968
_cell_length_c 19.2195
_cell_angle_alpha 90.00
_cell_angle_beta 90.00
_cell_angle_gamma 120.00
loop_
_atom_site_label
_atom_site_type_symbol
_atom_site_fract_x
_atom_site_fract_y
_atom_site_fract_z
_atom_site_occupancy
Zn1 Zn 0.0000 0.0000 0.0000 1
Re1 Re 0.0000 0.0000 0.7879 1
Ni1 Ni 0.0000 0.0000 0.5607 1
```

No. 2
Compound: Ba2SmGeSe5
Source: Alexandria via LeMat-Bulk
Functional: PBE
Structure: relaxed

Results
**Raw formation energy**: -1538 meV per atom
**Final energy**: -177.8 eV for the cell shown
**D(E_F)**: 0.147 states/eV per atom

CIF file:
```
data_Ba2SmGeSe5
_chemical_formula_sum 'Ba8 Sm4 Ge4 Se20'
_space_group_name_H-M_alt 'C m c 21'
_space_group_IT_number 36
_cell_length_a 4.5073
_cell_length_b 18.8939
_cell_length_c 13.2340
_cell_angle_alpha 90.00
_cell_angle_beta 90.00
_cell_angle_gamma 90.00
loop_
_space_group_symop_operation_xyz
'x,y,z'
'-x,-y,z+1/2'
'-x,y,z'
'x,-y,z+1/2'
'x+1/2,y+1/2,z'
'-x+1/2,-y+1/2,z+1/2'
'-x+1/2,y+1/2,z'
'x+1/2,-y+1/2,z+1/2'
loop_
_atom_site_label
_atom_site_type_symbol
_atom_site_fract_x
_atom_site_fract_y
_atom_site_fract_z
_atom_site_occupancy
Ba1 Ba 0.0000 0.1204 0.0000 1
Ba2 Ba 0.0000 0.1238 0.6429 1
Sm1 Sm 0.0000 0.2036 0.3404 1
Ge1 Ge 0.0000 0.4446 0.7475 1
Se1 Se 0.0000 0.0405 0.3310 1
Se2 Se 0.0000 0.2995 0.9817 1
Se3 Se 0.0000 0.3171 0.6867 1
Se4 Se 0.0000 0.3520 0.3221 1
Se5 Se 0.0000 0.4995 0.0825 1
```

No. 3
Compound: Tb3UO7
Source: Alexandria via LeMat-Bulk
Functional: PBE
Structure: relaxed

Results
**Raw formation energy**: -3490 meV per atom
**Final energy**: -393.1 eV for the cell shown
**D(E_F)**: 0.001 states/eV per atom

CIF file:
```
data_Tb3UO7
_chemical_formula_sum 'Tb12 U4 O28'
_space_group_name_H-M_alt 'C m c m'
_space_group_IT_number 63
_space_group_name_Hall '-C 2c 2'
_cell_length_a 7.6137
_cell_length_b 10.8255
_cell_length_c 7.7337
_cell_angle_alpha 90.00
_cell_angle_beta 90.00
_cell_angle_gamma 90.00
loop_
_atom_site_label
_atom_site_type_symbol
_atom_site_fract_x
_atom_site_fract_y
_atom_site_fract_z
_atom_site_occupancy
Tb1 Tb 0.0000 0.0000 0.0000 1
Tb2 Tb 0.2320 0.2632 0.2500 1
U1 U 0.0000 0.5000 0.0000 1
O1 O 0.0000 0.1331 0.7500 1
O2 O 0.0000 0.1336 0.2500 1
O3 O 0.0000 0.4056 0.2500 1
O4 O 0.2107 0.3750 0.5300 1
```

No. 4
Compound: VRhBr2
Source: Alexandria via LeMat-Bulk
Functional: PBE
Structure: relaxed

Results
**Raw formation energy**: 390 meV per atom
**Final energy**: -73.0 eV for the cell shown
**D(E_F)**: 1.066 states/eV per atom
**Distance to the lowest polymorph of the same formula**: 3.39 kcal/mol of atoms

CIF file:
```
data_VRhBr2
_chemical_formula_sum 'V4 Rh4 Br8'
_space_group_name_H-M_alt 'F m -3 m'
_space_group_IT_number 225
_space_group_name_Hall '-F 4 2 3'
_cell_length_a 6.6162
_cell_length_b 6.6162
_cell_length_c 6.6162
_cell_angle_alpha 90.00
_cell_angle_beta 90.00
_cell_angle_gamma 90.00
loop_
_atom_site_label
_atom_site_type_symbol
_atom_site_fract_x
_atom_site_fract_y
_atom_site_fract_z
_atom_site_occupancy
V1 V 0.0000 0.0000 0.0000 1
Rh1 Rh 0.0000 0.0000 0.5000 1
Br1 Br 0.2500 0.2500 0.2500 1
```

> What is the formula in the fourth record?

VRhBr2